A | The following is a PBE-GGA calculation of an optimized crystal structure of KRb2P2, from Alexandria.

**D(E_F)**: 0.7551 states/eV/atom
**Calculated volume**: 32.64 A^3/atom
**SG**: No. 127

Lattice parameters (Å, degrees): 10.0767 10.0767 3.2147 90.00 90.00 90.00
Sites, in units of the cell vectors:
K  0.0000  0.0000  0.0000
K  0.5000  0.5000  0.0000
Rb  0.1200  0.3800  0.0000
Rb  0.3800  0.8800  0.0000
Rb  0.6200  0.1200  0.0000
Rb  0.8800  0.6200  0.0000
P  0.1782  0.6782  0.5000
P  0.3218  0.1782  0.5000
P  0.6782  0.8218  0.5000
P  0.8218  0.3218  0.5000

=====

B | The following is a PBE-GGA calculation of an optimized crystal structure of KRb2P2, from Alexandria.

**D(E_F)**: 1.1584 states/eV/atom
**Calculated volume**: 40.52 A^3/atom
**SG**: No. 139

Lattice parameters (Å, degrees): 5.8635 5.8635 11.7865 90.00 90.00 90.00
Sites, in units of the cell vectors:
K  0.0000  0.0000  0.0000
K  0.5000  0.5000  0.5000
Rb  0.0000  0.0000  0.3595
Rb  0.0000  0.0000  0.6405
Rb  0.5000  0.5000  0.1405
Rb  0.5000  0.5000  0.8595
P  0.0000  0.5000  0.2500
P  0.0000  0.5000  0.7500
P  0.5000  0.0000  0.2500
P  0.5000  0.0000  0.7500

=====

C | The following is a PBE-GGA calculation of an optimized crystal structure of KRb2P2, from Alexandria.

**D(E_F)**: 0.7884 states/eV/atom
**Calculated volume**: 36.00 A^3/atom
**SG**: No. 15

Lattice parameters (Å, degrees): 6.7833 6.7833 9.2493 100.56 100.56 59.95
Sites, in units of the cell vectors:
K  0.0957  0.9043  0.7500
K  0.9043  0.0957  0.2500
Rb  0.2006  0.4982  0.3563
Rb  0.4982  0.2006  0.8563
Rb  0.5018  0.7994  0.1437
Rb  0.7994  0.5018  0.6437
P  0.0081  0.6548  0.9950
P  0.3452  0.9919  0.5050
P  0.6548  0.0081  0.4950
P  0.9919  0.3452  0.0050

=====

D | The following is a PBE-GGA calculation of an optimized crystal structure of KRb2P2, from Alexandria.

**D(E_F)**: 0.6206 states/eV/atom
**Calculated volume**: 36.26 A^3/atom
**SG**: No. 127

Lattice parameters (Å, degrees): 8.2873 8.2873 5.2790 90.00 90.00 90.00
Sites, in units of the cell vectors:
K  0.0000  0.0000  0.0000
K  0.5000  0.5000  0.0000
Rb  0.1710  0.3290  0.5000
Rb  0.3290  0.8290  0.5000
Rb  0.6710  0.1710  0.5000
Rb  0.8290  0.6710  0.5000
P  0.0927  0.5927  0.0000
P  0.4073  0.0927  0.0000
P  0.5927  0.9073  0.0000
P  0.9073  0.4073  0.0000

=====

Which of them is the least stable? Correct choice: B.

=====

A | The following is a PBE-GGA calculation of an optimized crystal structure of K3RbP, from Alexandria.

**D(E_F)**: 1.9538 states/eV/atom
**Calculated volume**: 64.19 A^3/atom
**SG**: No. 221

Lattice parameters (Å, degrees): 6.8467 6.8467 6.8467 90.00 90.00 90.00
Sites, in units of the cell vectors:
K  0.0000  0.0000  0.5000
K  0.0000  0.5000  0.0000
K  0.5000  0.0000  0.0000
Rb  0.0000  0.0000  0.0000
P  0.5000  0.5000  0.5000

=====

B | The following is a PBE-GGA calculation of an optimized crystal structure of K3RbP, from Alexandria.

**D(E_F)**: 1.6893 states/eV/atom
**Calculated volume**: 54.66 A^3/atom
**SG**: No. 221

Lattice parameters (Å, degrees): 6.4897 6.4897 6.4897 90.00 90.00 90.00
Sites, in units of the cell vectors:
K  0.0000  0.0000  0.5000
K  0.0000  0.5000  0.0000
K  0.5000  0.0000  0.0000
Rb  0.5000  0.5000  0.5000
P  0.0000  0.0000  0.0000

=====

Which of them is the least stable? Correct choice: A.

=====

A | The following is a PBE-GGA calculation of an optimized crystal structure of KRe2P, from Alexandria.

**D(E_F)**: 1.2902 states/eV/atom
**Calculated volume**: 15.32 A^3/atom
**SG**: No. 225

Lattice parameters (Å, degrees): 6.2582 6.2582 6.2582 90.00 90.00 90.00
Sites, in units of the cell vectors:
K  0.0000  0.0000  0.0000
K  0.0000  0.5000  0.5000
K  0.5000  0.0000  0.5000
K  0.5000  0.5000  0.0000
Re  0.2500  0.2500  0.2500
Re  0.2500  0.2500  0.7500
Re  0.2500  0.7500  0.2500
Re  0.2500  0.7500  0.7500
Re  0.7500  0.2500  0.2500
Re  0.7500  0.2500  0.7500
Re  0.7500  0.7500  0.2500
Re  0.7500  0.7500  0.7500
P  0.0000  0.0000  0.5000
P  0.0000  0.5000  0.0000
P  0.5000  0.0000  0.0000
P  0.5000  0.5000  0.5000

=====

B | The following is a PBE-GGA calculation of an optimized crystal structure of KRe2P, from Alexandria.

**D(E_F)**: 0.7641 states/eV/atom
**Calculated volume**: 18.00 A^3/atom
**SG**: No. 12

Lattice parameters (Å, degrees): 5.5692 10.9436 2.5661 90.00 112.94 90.00
Sites, in units of the cell vectors:
K  0.0000  0.0000  0.0000
K  0.5000  0.5000  0.0000
Re  0.2500  0.2500  0.0000
Re  0.2500  0.7500  0.0000
Re  0.7500  0.2500  0.0000
Re  0.7500  0.7500  0.0000
P  0.0000  0.5000  0.0000
P  0.5000  0.0000  0.0000

=====

Which of them is the least stable? Correct choice: A.

=====

A | The following is a PBE-GGA calculation of an optimized crystal structure of KReP2S, from Alexandria.

**D(E_F)**: 0.9920 states/eV/atom
**Calculated volume**: 22.05 A^3/atom
**SG**: No. 123

Lattice parameters (Å, degrees): 4.6081 4.6081 5.1922 90.00 90.00 90.00
Sites, in units of the cell vectors:
K  0.0000  0.0000  0.0000
Re  0.5000  0.5000  0.5000
P  0.0000  0.5000  0.5000
P  0.5000  0.0000  0.5000
S  0.5000  0.5000  0.0000

=====

B | The following is a PBE-GGA calculation of an optimized crystal structure of KReP2S, from Alexandria.

**D(E_F)**: 1.0145 states/eV/atom
**Calculated volume**: 27.21 A^3/atom
**SG**: No. 123

Lattice parameters (Å, degrees): 5.1300 5.1300 5.1697 90.00 90.00 90.00
Sites, in units of the cell vectors:
K  0.0000  0.0000  0.0000
Re  0.5000  0.5000  0.5000
P  0.0000  0.5000  0.0000
P  0.5000  0.0000  0.0000
S  0.0000  0.0000  0.5000

=====

Which of them is the least stable? Correct choice: B.